Record 1
This record from Alexandria describes a relaxed structure of InBi2S6. The functional is PBE.

**Raw formation energy**: 0.036 eV per atom

Unit cell a=6.269 b=6.269 c=12.286 alpha=90.00 beta=90.00 gamma=90.00
Fractional positions:
In 0.000 0.000 0.000
In 0.500 0.500 0.500
Bi 0.000 0.000 0.334
Bi 0.500 0.500 0.834
Bi 0.500 0.500 0.166
Bi 0.000 0.000 0.666
S 0.309 0.309 0.338
S 0.691 0.691 0.338
S 0.191 0.809 0.838
S 0.809 0.191 0.838
S 0.191 0.809 0.162
S 0.809 0.191 0.162
S 0.309 0.309 0.662
S 0.691 0.691 0.662
S 0.298 0.298 0.000
S 0.702 0.702 0.000
S 0.202 0.798 0.500
S 0.798 0.202 0.500

Record 2
This record from Alexandria describes a relaxed structure of InBi2SeF. The functional is PBE.

**Raw formation energy**: 0.290 eV per atom

Unit cell a=5.770 b=5.215 c=5.770 alpha=90.00 beta=90.00 gamma=90.00
Fractional positions:
F 0.500 0.500 0.500
Bi 0.000 0.000 0.500
Bi 0.500 0.000 0.000
Se 0.000 0.500 0.000
In 0.000 0.000 0.000

Record 3
This record from Alexandria describes a relaxed structure of Pr2Tl3SnS6. The functional is PBE.

**Raw formation energy**: -1.064 eV per atom

Unit cell a=7.204 b=7.204 c=7.816 alpha=98.81 beta=98.81 gamma=120.00
Fractional positions:
Pr 0.334 0.666 0.000
Pr 0.666 0.334 0.000
Tl 0.171 0.829 0.500
Tl 0.829 0.171 0.500
Tl 0.500 0.500 0.500
Sn 0.000 0.000 0.000
S 0.933 0.612 0.798
S 0.748 0.748 0.207
S 0.067 0.388 0.202
S 0.612 0.933 0.798
S 0.252 0.252 0.793
S 0.388 0.067 0.202

Record 4
This record from Alexandria describes a relaxed structure of Pb2Se. The functional is PBE.

**Offset from the most stable computed form**: 200 meV per atom
**Raw formation energy**: -0.038 eV per atom

Unit cell a=6.199 b=6.199 c=6.199 alpha=103.32 beta=103.32 gamma=122.64
Fractional positions:
Pb 0.657 0.843 0.500
Pb 0.343 0.157 0.500
Pb 0.843 0.343 0.185
Pb 0.157 0.657 0.815
Se 0.250 0.250 0.000
Se 0.750 0.750 0.000

Record 5
This record from Alexandria describes a relaxed structure of SrZnRh3. The functional is PBE.

**Offset from the most stable computed form**: 0 meV per atom

Unit cell a=4.693 b=4.693 c=4.693 alpha=90.00 beta=90.00 gamma=90.00
Fractional positions:
Sr 0.500 0.500 0.500
Zn 0.000 0.000 0.000
Rh 0.000 0.500 0.000
Rh 0.000 0.000 0.500
Rh 0.500 0.000 0.000

Record 6
This record from Alexandria describes a relaxed structure of Dy12H5Pb3. The functional is PBE.

Unit cell a=13.584 b=13.584 c=13.584 alpha=109.47 beta=109.47 gamma=109.47
Fractional positions:
Pb 0.750 0.375 0.125
Pb 0.875 0.750 0.125
Pb 0.375 0.750 0.625
Pb 0.250 0.125 0.375
Pb 0.875 0.125 0.250
Pb 0.375 0.625 0.250
Pb 0.625 0.375 0.750
Pb 0.125 0.875 0.750
Pb 0.750 0.875 0.625
Pb 0.625 0.250 0.375
Pb 0.125 0.250 0.875
Pb 0.250 0.625 0.875
H 0.125 0.375 0.250
H 0.000 0.500 0.000
H 0.000 0.000 0.000
H 0.375 0.250 0.125
H 0.500 0.000 0.500
H 0.500 0.500 0.000
H 0.125 0.750 0.375
H 0.750 0.125 0.875
H 0.750 0.625 0.375
H 0.375 0.125 0.750
H 0.625 0.875 0.250
H 0.500 0.500 0.500
H 0.500 0.000 0.000
H 0.000 0.000 0.500
H 0.250 0.375 0.625
H 0.250 0.875 0.125
H 0.000 0.500 0.500
H 0.875 0.250 0.625
H 0.625 0.750 0.875
H 0.875 0.625 0.750
Dy 0.704 0.107 0.010
Dy 0.307 0.510 0.403
Dy 0.990 0.393 0.296
Dy 0.510 0.204 0.107
Dy 0.596 0.704 0.693
Dy 0.990 0.597 0.193
Dy 0.307 0.796 0.404
Dy 0.097 0.904 0.107
Dy 0.597 0.990 0.693
Dy 0.704 0.596 0.193
Dy 0.796 0.490 0.393
Dy 0.807 0.903 0.010
Dy 0.107 0.704 0.510
Dy 0.393 0.403 0.096
Dy 0.096 0.903 0.393
Dy 0.404 0.107 0.597
Dy 0.096 0.193 0.204
Dy 0.490 0.693 0.097
Dy 0.807 0.904 0.296
Dy 0.107 0.404 0.097
Dy 0.393 0.990 0.796
Dy 0.597 0.607 0.404
Dy 0.903 0.807 0.510
Dy 0.796 0.307 0.904
Dy 0.403 0.393 0.596
Dy 0.097 0.193 0.490
Dy 0.204 0.693 0.096
Dy 0.193 0.096 0.704
Dy 0.607 0.010 0.204
Dy 0.893 0.596 0.903
Dy 0.510 0.307 0.903
Dy 0.596 0.893 0.403
Dy 0.904 0.807 0.796
Dy 0.904 0.097 0.607
Dy 0.893 0.296 0.490
Dy 0.193 0.097 0.990
Dy 0.607 0.597 0.904
Dy 0.403 0.010 0.307
Dy 0.296 0.404 0.807
Dy 0.204 0.510 0.607
Dy 0.903 0.096 0.893
Dy 0.693 0.204 0.596
Dy 0.490 0.796 0.893
Dy 0.010 0.403 0.807
Dy 0.404 0.296 0.307
Dy 0.010 0.607 0.704
Dy 0.693 0.490 0.597
Dy 0.296 0.893 0.990

Record 7
This record from Alexandria describes a relaxed structure of ScGa2SnPd2. The functional is PBE.

Unit cell a=4.500 b=4.500 c=6.133 alpha=90.00 beta=90.00 gamma=120.00
Fractional positions:
Sc 0.000 0.000 0.500
Ga 0.333 0.667 0.701
Ga 0.667 0.333 0.299
Sn 0.000 0.000 0.000
Pd 0.333 0.667 0.248
Pd 0.667 0.333 0.752

Record 8
This record from Alexandria describes a relaxed structure of MoRhBr2. The functional is PBE.

**Offset from the most stable computed form**: 931 meV per atom
**Raw formation energy**: 0.924 eV per atom

Unit cell a=4.756 b=4.756 c=4.756 alpha=60.00 beta=60.00 gamma=60.00
Fractional positions:
Mo 0.500 0.500 0.500
Rh 0.750 0.750 0.750
Br 0.000 0.000 0.000
Br 0.250 0.250 0.250

Record 9
This record from Alexandria describes a relaxed structure of SrIr5. The functional is PBE.

Unit cell a=5.295 b=5.295 c=5.295 alpha=60.00 beta=60.00 gamma=60.00
Fractional positions:
Sr 0.000 0.000 0.000
Ir 0.250 0.250 0.250
Ir 0.624 0.624 0.624
Ir 0.624 0.624 0.127
Ir 0.127 0.624 0.624
Ir 0.624 0.127 0.624

Record 10
This record from Alexandria describes a relaxed structure of Zr2MnBe. The functional is PBE.

Unit cell a=7.052 b=7.052 c=5.690 alpha=51.71 beta=51.71 gamma=90.00
Fractional positions:
Be 0.500 0.500 0.000
Be 0.250 0.750 0.500
Mn 0.000 0.000 0.000
Mn 0.750 0.250 0.500
Zr 0.636 0.125 0.250
Zr 0.114 0.625 0.250
Zr 0.375 0.364 0.750
Zr 0.875 0.886 0.750

Record 11
This record from Alexandria describes a relaxed structure of CsRb2Tl2. The functional is PBE.

**Offset from the most stable computed form**: 49 meV per atom

Unit cell a=9.836 b=9.836 c=5.873 alpha=90.00 beta=90.00 gamma=90.00
Fractional positions:
Cs 0.000 0.000 0.000
Cs 0.500 0.500 0.000
Tl 0.391 0.891 0.000
Tl 0.891 0.609 0.000
Tl 0.609 0.109 0.000
Tl 0.109 0.391 0.000
Rb 0.170 0.670 0.500
Rb 0.670 0.830 0.500
Rb 0.830 0.330 0.500
Rb 0.330 0.170 0.500

Record 12
This record from Alexandria describes a relaxed structure of TaTl2Br. The functional is PBE.

**Offset from the most stable computed form**: 487 meV per atom
**Raw formation energy**: 0.551 eV per atom

Unit cell a=5.745 b=3.289 c=6.115 alpha=59.71 beta=90.00 gamma=90.00
Fractional positions:
Tl 0.000 0.780 0.994
Tl 0.000 0.720 0.506
Br 0.500 0.250 0.250
Ta 0.500 0.750 0.750

Record 13
This record from Alexandria describes a relaxed structure of TbGdCo. The functional is PBE.

**Offset from the most stable computed form**: 0 meV per atom

Unit cell a=3.385 b=3.385 c=6.791 alpha=104.43 beta=104.43 gamma=90.00
Fractional positions:
Co 0.668 0.668 0.336
Gd 0.039 0.039 0.077
Tb 0.293 0.293 0.587

Record 14
This record from Alexandria describes a relaxed structure of Na2TlBr3. The functional is PBE.

**Offset from the most stable computed form**: 100 meV per atom
**Raw formation energy**: -1.197 eV per atom

Unit cell a=7.363 b=8.282 c=8.282 alpha=90.47 beta=90.00 gamma=90.00
Fractional positions:
Na 0.000 0.165 0.165
Na 0.500 0.165 0.165
Na 0.000 0.835 0.835
Na 0.500 0.835 0.835
Tl 0.250 0.401 0.599
Tl 0.750 0.599 0.401
Br 0.750 0.088 0.912
Br 0.750 0.233 0.419
Br 0.250 0.419 0.233
Br 0.750 0.581 0.767
Br 0.250 0.767 0.581
Br 0.250 0.912 0.088

Record 15
This record from Alexandria describes a relaxed structure of BiPHNO. The functional is PBE.

**Offset from the most stable computed form**: 300 meV per atom

Unit cell a=3.038 b=4.162 c=5.829 alpha=102.49 beta=105.05 gamma=90.00
Fractional positions:
Bi 0.464 0.517 0.310
P 0.212 0.275 0.802
H 0.772 0.903 0.922
N 0.699 0.023 0.777
O 0.930 0.864 0.241

Record 16
This record from Alexandria describes a relaxed structure of CaNiPt2. The functional is PBE.

Unit cell a=4.948 b=4.948 c=5.016 alpha=79.74 beta=79.74 gamma=34.44
Fractional positions:
Ni 0.737 0.737 0.807
Ca 0.500 0.500 0.493
Pt 0.004 0.004 0.977
Pt 0.259 0.259 0.224

Record 17
This record from Alexandria describes a relaxed structure of MgRh3. The functional is PBE.

Unit cell a=5.194 b=5.194 c=5.194 alpha=148.94 beta=125.46 gamma=64.11
Fractional positions:
Mg 0.001 0.000 0.001
Rh 0.488 0.500 0.988
Rh 0.918 0.246 0.672
Rh 0.426 0.754 0.672

Record 18
This record from Alexandria describes a relaxed structure of Tb3SmH8. The functional is PBE.

Unit cell a=5.255 b=5.255 c=5.255 alpha=90.00 beta=90.00 gamma=90.00
Fractional positions:
Tb 0.500 0.500 0.000
Tb 0.500 0.000 0.500
Tb 0.000 0.500 0.500
Sm 0.000 0.000 0.000
H 0.254 0.254 0.746
H 0.254 0.746 0.254
H 0.746 0.254 0.254
H 0.746 0.746 0.746
H 0.746 0.746 0.254
H 0.746 0.254 0.746
H 0.254 0.746 0.746
H 0.254 0.254 0.254

Record 19
This record from Alexandria describes a relaxed structure of Ac3La2Ag2Pb4. The functional is PBE.

Unit cell a=5.033 b=5.033 c=17.411 alpha=90.00 beta=90.00 gamma=120.00
Fractional positions:
Ac 0.000 0.000 0.760
Ac 0.000 0.000 0.000
Ac 0.000 0.000 0.240
La 0.667 0.333 0.431
La 0.333 0.667 0.569
Ag 0.667 0.333 0.885
Ag 0.333 0.667 0.115
Pb 0.667 0.333 0.123
Pb 0.333 0.667 0.877
Pb 0.667 0.333 0.646
Pb 0.333 0.667 0.354

Record 20
This record from Alexandria describes a relaxed structure of ZnPdSe3. The functional is PBE.

**Offset from the most stable computed form**: 199 meV per atom
**Raw formation energy**: 0.639 eV per atom

Unit cell a=4.873 b=4.873 c=4.873 alpha=90.00 beta=90.00 gamma=90.00
Fractional positions:
Zn 0.000 0.000 0.000
Se 0.000 0.500 0.000
Se 0.000 0.000 0.500
Se 0.500 0.000 0.000
Pd 0.500 0.500 0.500

Record 21
This record from Alexandria describes a relaxed structure of FePtRh4. The functional is PBE.

**Offset from the most stable computed form**: 390 meV per atom

Unit cell a=5.068 b=5.068 c=5.068 alpha=60.00 beta=60.00 gamma=60.00
Fractional positions:
Fe 0.750 0.750 0.750
Pt 0.000 0.000 0.000
Rh 0.375 0.875 0.375
Rh 0.875 0.375 0.375
Rh 0.375 0.375 0.875
Rh 0.375 0.375 0.375

Record 22
This record from Alexandria describes a relaxed structure of Dy3Al. The functional is PBE.

Unit cell a=6.835 b=6.835 c=5.286 alpha=90.00 beta=90.00 gamma=120.00
Fractional positions:
Dy 0.825 0.175 0.750
Dy 0.350 0.175 0.750
Dy 0.825 0.650 0.750
Dy 0.175 0.825 0.250
Dy 0.175 0.350 0.250
Dy 0.650 0.825 0.250
Al 0.667 0.333 0.250
Al 0.333 0.667 0.750

no.,calculated total energy (eV per atom)
1,-3.88
2,-2.88
3,-4.85
4,-3.67
5,-4.66
6,-4.41
7,-5.06
8,-4.46
9,-7.27
10,-7.02
11,-1.50
12,-4.01
13,-8.69
14,-2.87
15,-5.38
16,-5.23
17,-6.18
18,-4.49
19,-4.30
20,-2.75
21,-6.94
22,-4.59